A relaxed structure of Na2MgZnPt, computed with GGA-PBE.

Lattice parameters (Å, degrees): 5.2290 4.7467 5.2290 90.00 90.00 90.00
With the nearest neighbours (Å) after each atom.
Atoms (fractional coordinates):
Zn 0.0000 0.0000 0.0000  2 Pt 2.37, 4 Na 2.61
Pt 0.0000 0.5000 0.0000  2 Zn 2.37
Na 0.5000 0.0000 0.0000  2 Zn 2.61
Na 0.0000 0.0000 0.5000  2 Zn 2.61
Mg 0.5000 0.5000 0.5000  8 Na 3.53, 4 Pt 3.70

- magnetization (μB/f.u.) = 0.0
- formation energy from the elements (kcal/mol of atoms) = 4.3
- total energy (eV for the cell shown) = -10.62
- density (g cm⁻³) = 4.2